Record 1
4
Lattice="0.000 3.416 3.416 3.416 0.000 3.416 3.416 3.416 0.000" Properties=species:S:1:pos:R:3 comment="ZrNb2Sn, relaxed, DFT PBE" dft_energy_ev_per_cell=-33.25 vol_a3_per_atom=19.9 magnetic_moment_mub_per_cell=0.00 density_g_cm3=8.240 pbc="T T T"
Zr 0.000 0.000 0.000
Nb 1.708 1.708 1.708
Nb 3.416 3.416 3.416
Sn 5.125 5.125 5.125


Record 2
3
Lattice="0.000 3.103 3.103 3.103 0.000 3.103 3.103 3.103 0.000" Properties=species:S:1:pos:R:3 comment="HoZnFe, relaxed, DFT PBE" vol_a3_per_atom=19.9 delta_e_f_ev_per_fu=0.8 magnetic_moment_mub_per_cell=1.39 density_g_cm3=7.951 pbc="T T T"
Ho 0.000 0.000 0.000
Zn 3.103 3.103 3.103
Fe 1.552 1.552 1.552


Record 3
6
Lattice="3.197 0.000 0.000 -1.599 2.769 0.000 0.000 0.000 6.651" Properties=species:S:1:pos:R:3 comment="DyCuB4, relaxed, DFT PBE" e_above_lowest_polymorph_ev_per_atom=0.0000 vol_a3_per_atom=9.8 magnetic_moment_mub_per_cell=0.00 density_g_cm3=7.594 pbc="T T T"
Dy 0.000 0.000 0.000
Cu 0.000 0.000 3.325
B 0.000 1.846 1.881
B 0.000 1.846 4.770
B 1.599 0.923 1.881
B 1.599 0.923 4.770


Record 4
4
Lattice="4.615 0.000 0.000 -2.308 3.997 0.000 0.000 0.000 5.185" Properties=species:S:1:pos:R:3 comment="PaNi, relaxed, DFT PBE" vol_a3_per_atom=23.9 delta_e_f_ev_per_fu=0.5 magnetic_moment_mub_per_cell=0.32 density_g_cm3=10.061 pbc="T T T"
Pa 0.000 2.665 1.296
Pa 2.308 1.332 3.889
Ni 0.000 2.665 3.889
Ni 2.308 1.332 1.296


What is the formula in the first record? ZrNb2Sn